1.
The following is a DFT calculation (GGA-PBE) of an optimized crystal structure of YNiPb2.

The structure in CIF format:
```
data_YNiPb2
_chemical_formula_sum 'Y4 Ni4 Pb8'
_symmetry_space_group_name_H-M 'F m -3 m'
_symmetry_Int_Tables_number 225
_symmetry_space_group_name_Hall '-F 4 2 3'
_cell_length_a 7.2427
_cell_length_b 7.2427
_cell_length_c 7.2427
_cell_angle_alpha 90.00
_cell_angle_beta 90.00
_cell_angle_gamma 90.00
loop_
_atom_site_label
_atom_site_fract_x
_atom_site_fract_y
_atom_site_fract_z
_atom_site_occupancy
Y1 0.0000 0.0000 0.0000 1
Ni1 0.0000 0.0000 0.5000 1
Pb1 0.2500 0.2500 0.2500 1
```

Properties
The total energy comes out at -4.89 eV per atom. The offset from the most stable computed form is 0.1724 eV per atom. As for the volume: 23.75 Å³ per atom. The formation enthalpy at 0 K is 0.03 eV per atom.

2.
The following is a DFT calculation (GGA-PBE) of an optimized crystal structure of YNiPb2.

The structure in CIF format:
```
data_YNiPb2
_chemical_formula_sum 'Y4 Ni4 Pb8'
_symmetry_space_group_name_H-M 'I -4 2 d'
_symmetry_Int_Tables_number 122
_symmetry_space_group_name_Hall 'I -4 2bw'
_cell_length_a 4.5020
_cell_length_b 4.5020
_cell_length_c 20.7288
_cell_angle_alpha 90.00
_cell_angle_beta 90.00
_cell_angle_gamma 90.00
loop_
_atom_site_label
_atom_site_fract_x
_atom_site_fract_y
_atom_site_fract_z
_atom_site_occupancy
Y1 0.0000 0.0000 0.0000 1
Ni1 0.0000 0.0000 0.5000 1
Pb1 0.2245 0.2500 0.6250 1
```

Properties
The total energy comes out at -4.80 eV per atom. The offset from the most stable computed form is 0.2631 eV per atom. As for the volume: 26.26 Å³ per atom. The formation enthalpy at 0 K is 0.12 eV per atom.

3.
The following is a DFT calculation (GGA-PBE) of an optimized crystal structure of YNi4Pb.

The structure in CIF format:
```
data_YNi4Pb
_chemical_formula_sum 'Y4 Ni16 Pb4'
_symmetry_space_group_name_H-M 'F -4 3 m'
_symmetry_Int_Tables_number 216
_symmetry_space_group_name_Hall 'F -4 2 3'
_cell_length_a 7.1464
_cell_length_b 7.1464
_cell_length_c 7.1464
_cell_angle_alpha 90.00
_cell_angle_beta 90.00
_cell_angle_gamma 90.00
loop_
_atom_site_label
_atom_site_fract_x
_atom_site_fract_y
_atom_site_fract_z
_atom_site_occupancy
Y1 0.0000 0.0000 0.0000 1
Ni1 0.1249 0.1249 0.6249 1
Pb1 0.2500 0.2500 0.2500 1
```

Properties
The total energy comes out at -5.79 eV per atom. As for the volume: 15.21 Å³ per atom. The formation enthalpy at 0 K is -0.24 eV per atom.

4.
The following is a DFT calculation (GGA-PBE) of an optimized crystal structure of YNi2Pb.

The structure in CIF format:
```
data_YNi2Pb
_chemical_formula_sum 'Y1 Ni2 Pb1'
_symmetry_space_group_name_H-M 'P 4 m m'
_symmetry_Int_Tables_number 99
_cell_length_a 3.3574
_cell_length_b 3.3574
_cell_length_c 6.8244
_cell_angle_alpha 90.00
_cell_angle_beta 90.00
_cell_angle_gamma 90.00
loop_
_symmetry_equiv_pos_as_xyz
'x,y,z'
'-y,x,z'
'-x,-y,z'
'y,-x,z'
'-x,y,z'
'y,x,z'
'x,-y,z'
'-y,-x,z'
loop_
_atom_site_label
_atom_site_fract_x
_atom_site_fract_y
_atom_site_fract_z
_atom_site_occupancy
Y1 0.0000 0.0000 0.0000 1
Ni1 0.0000 0.0000 0.3958 1
Ni2 0.5000 0.5000 0.2272 1
Pb1 0.5000 0.5000 0.6190 1
```

Properties
The total energy comes out at -5.51 eV per atom. As for the volume: 19.23 Å³ per atom. The formation enthalpy at 0 K is -0.08 eV per atom.